1.
VASP calculation (PBE) on crystalline PRhBr at its relaxed geometry.

abc: 4.307 4.307 4.307
angles: 60.00 60.00 60.00
Positions (direct):
Rh  0.750  0.750  0.750
Br  0.000  0.000  0.000
P  0.500  0.500  0.500

D(E_F)   2.72 states/eV per cell
Size of the total moment   0.0 Bohr magnetons per cell
Relative energy among the computed polymorphs   0.470 eV per atom
ΔE_f (raw)   203.2 meV/atom

***

2.
VASP calculation (PBE) on crystalline Tb2Sn5Ir3 at its relaxed geometry.

abc: 4.434 7.300 13.487
angles: 90.00 99.46 90.00
Positions (direct):
Sn  0.295  0.937  0.589
Sn  0.403  0.382  0.805
Sn  0.120  0.259  0.240
Sn  0.952  0.093  0.905
Sn  0.705  0.437  0.411
Sn  0.709  0.006  0.418
Sn  0.880  0.759  0.760
Sn  0.291  0.506  0.582
Sn  0.597  0.882  0.195
Sn  0.048  0.593  0.095
Ir  0.223  0.221  0.447
Ir  0.394  0.009  0.788
Ir  0.777  0.721  0.553
Ir  0.050  0.976  0.099
Ir  0.606  0.509  0.212
Ir  0.950  0.476  0.901
Tb  0.523  0.256  0.047
Tb  0.828  0.226  0.656
Tb  0.172  0.726  0.344
Tb  0.477  0.756  0.953

D(E_F)   9.19 states/eV per cell
Size of the total moment   0.0 Bohr magnetons per cell
ΔH_f (0 K)   -0.630 eV per atom

***

3.
VASP calculation (PBE) on crystalline Fe2PbAu at its relaxed geometry.

abc: 4.994 4.994 4.994
angles: 131.72 131.69 70.70
Positions (direct):
Fe  0.000  0.000  0.000
Fe  0.500  0.500  0.000
Pb  0.750  0.250  0.500
Au  0.250  0.750  0.500

D(E_F)   1.46 states/eV per cell
Size of the total moment   5.6 Bohr magnetons per cell
ΔH_f (0 K)   0.392 eV per atom

***

4.
VASP calculation (PBE) on crystalline Zr3W at its relaxed geometry.

abc: 5.823 5.823 5.823
angles: 145.72 129.69 62.29
Positions (direct):
W  0.500  0.000  0.500
Zr  0.721  0.721  0.000
Zr  0.000  0.500  0.500
Zr  0.279  0.279  0.000

D(E_F)   4.69 states/eV per cell
Size of the total moment   0.0 Bohr magnetons per cell
Relative energy among the computed polymorphs   0.000 eV per atom
ΔH_f (0 K)   0.097 eV per atom

***

5.
VASP calculation (PBE) on crystalline HfSi2Mo at its relaxed geometry.

abc: 3.641 3.641 6.375
angles: 73.41 73.41 60.00
Positions (direct):
Si  0.257  0.257  0.228
Si  0.743  0.743  0.772
Hf  0.500  0.500  0.500
Mo  0.000  0.000  0.000

D(E_F)   2.23 states/eV per cell
Size of the total moment   0.0 Bohr magnetons per cell
Relative energy among the computed polymorphs   0.044 eV per atom
ΔE_f (raw)   -180.6 meV/atom

***

6.
VASP calculation (PBE) on crystalline OsW2Au at its relaxed geometry.

abc: 4.005 2.828 6.307
angles: 63.29 90.00 90.00
Positions (direct):
W  0.000  0.477  0.521
W  0.000  0.023  0.979
Os  0.500  0.750  0.750
Au  0.500  0.250  0.250

D(E_F)   2.20 states/eV per cell
Size of the total moment   0.0 Bohr magnetons per cell
Relative energy among the computed polymorphs   0.000 eV per atom
ΔH_f (0 K)   0.206 eV per atom